Record 1
Entry from the Alexandria database: crystalline PuPdAu at its relaxed geometry (GGA-PBE).

- total magnetization (μB per cell) = 21.9
- DFT total energy (eV per atom) = -8.05
- D(E_F) (states/eV per cell) = 50.3

Lattice parameters (Å, degrees): 10.362 4.534 6.757 90.00 126.47 90.00
Space group C2/m (No. 12)
Asymmetric unit:
Pu 0.047 0.000 0.299
Pd 0.156 0.500 0.678
Au 0.166 0.500 0.109

***

Record 2
Entry from the Alexandria database: crystalline RbNbFe2 at its relaxed geometry (GGA-PBE).

- total magnetization (μB per cell) = 0.3
- DFT total energy (eV per atom) = -5.41
- D(E_F) (states/eV per cell) = 26.2

Lattice parameters (Å, degrees): 4.958 4.958 15.994 90.00 90.00 90.00
Space group I4_1/amd (No. 141, origin choice 2)
Asymmetric unit:
Rb 0.000 0.250 0.375
Nb 0.000 0.250 0.875
Fe 0.000 0.000 0.000

***

Record 3
Entry from the Alexandria database: crystalline AcLa9Ho2 at its relaxed geometry (GGA-PBE).

- total magnetization (μB per cell) = 0.0
- DFT total energy (eV per atom) = -4.79
- D(E_F) (states/eV per cell) = 20.9

Lattice parameters (Å, degrees): 5.250 5.250 15.803 90.00 90.00 90.00
Space group P4/mmm (No. 123)
Asymmetric unit:
Ac 0.000 0.000 0.000
La 0.000 0.500 0.173
La 0.000 0.500 0.500
La 0.500 0.500 0.000
La 0.500 0.500 0.338
Ho 0.000 0.000 0.337

***

Record 4
Entry from the Alexandria database: crystalline Tb2NdSmY5 at its relaxed geometry (GGA-PBE).

- total magnetization (μB per cell) = 0.0
- DFT total energy (eV per atom) = -5.41
- D(E_F) (states/eV per cell) = 43.8

Lattice parameters (Å, degrees): 8.843 8.843 15.196 90.00 90.00 90.00
Space group I4/mcm (No. 140)
Asymmetric unit:
Tb 0.115 0.385 0.000
Nd 0.000 0.000 0.250
Sm 0.000 0.500 0.250
Y 0.000 0.000 0.000
Y 0.205 0.295 0.366

***

Record 5
Entry from the Alexandria database: crystalline PrSm7Dy3 at its relaxed geometry (GGA-PBE).

- total magnetization (μB per cell) = 0.0
- DFT total energy (eV per atom) = -4.56
- D(E_F) (states/eV per cell) = 17.6

Lattice parameters (Å, degrees): 6.568 6.751 8.735 99.40 99.13 95.60
Space group P-1 (No. 2)
Asymmetric unit:
Pr 0.000 0.000 0.000
Sm 0.000 0.500 0.000
Sm 0.054 0.209 0.640
Sm 0.224 0.721 0.712
Sm 0.484 0.239 0.913
Dy 0.308 0.434 0.339
Dy 0.500 0.000 0.500

***

Record 6
Entry from the Alexandria database: crystalline Tb2Tm2Ru at its relaxed geometry (GGA-PBE).

- total magnetization (μB per cell) = 0.0
- DFT total energy (eV per atom) = -5.67
- D(E_F) (states/eV per cell) = 22.9

Lattice parameters (Å, degrees): 7.279 11.794 7.336 90.00 116.37 90.00
Space group C2/m (No. 12)
Asymmetric unit:
Tb 0.231 0.000 0.406
Tb 0.242 0.500 0.091
Tm 0.053 0.276 0.753
Ru 0.000 0.129 0.000